17
Lattice="6.4929 0.0000 0.0000 0.0000 8.1822 -4.7240 0.0000 0.0000 9.4479" Properties=species:S:1:pos:R:3 comment="Th6ScTl10 | Alexandria via LeMat-Bulk | PBE-GGA | relaxed" space_group="P-31m, No. 162" delta_e_f_kj_per_mol_atoms=-6 dos_at_fermi_per_ev_atom=0.967 pbc="T T T"
Sc 3.2465 0.0000 0.0000
Tl 5.1314 0.0000 2.4025
Th 4.7586 3.1816 1.8369
Tl 0.0000 5.4548 0.0000
Th 1.7344 5.0006 2.8871
Tl 1.3615 0.0000 7.0454
Th 4.7586 0.0000 5.7741
Th 1.7344 3.1816 -1.8369
Tl 0.0000 2.7274 4.7240
Tl 5.1314 6.1015 3.5227
Th 1.7344 0.0000 3.6738
Tl 1.3615 6.1015 -3.5227
Tl 3.2465 5.4548 0.0000
Tl 5.1314 2.0806 -1.2013
Tl 3.2465 2.7274 4.7240
Th 4.7586 5.0006 -2.8871
Tl 1.3615 2.0806 1.2013

4
Lattice="-1.6172 -2.5483 1.2959 2.7822 -1.7454 0.0398 1.5903 2.7016 7.2969" Properties=species:S:1:pos:R:3 comment="BaCrW2 | Alexandria via LeMat-Bulk | PBE-GGA | relaxed" space_group="P4/mmm, No. 123" delta_e_f_kj_per_mol_atoms=91 dos_at_fermi_per_ev_atom=1.546 pbc="T T T"
Ba 0.9801 -1.4714 2.4921
W 0.9515 1.6163 4.3656
W 1.4340 2.4361 6.5798
Cr 1.7752 -0.1206 6.1406

15
Lattice="8.0300 0.1051 3.8529 2.4680 7.6420 3.8529 0.1425 0.1051 8.9054" Properties=species:S:1:pos:R:3 comment="Pr6Nd8Th | Alexandria via LeMat-Bulk | PBE-GGA | relaxed" space_group="R-3, No. 148" delta_e_f_kj_per_mol_atoms=11 dos_at_fermi_per_ev_atom=1.636 pbc="T T T"
Pr 2.2213 0.8336 6.0985
Pr 8.4844 3.6920 12.0435
Pr 2.1560 4.1603 4.5678
Nd 6.1418 4.5324 9.5882
Nd 4.4987 3.3199 7.0231
Nd 2.7857 5.5455 9.9252
Pr 4.9329 1.8768 3.8684
Nd 6.4569 1.0268 9.7096
Pr 5.7075 5.9754 12.7428
Nd 7.6138 5.8671 6.6805
Th 0.0000 0.0000 0.0000
Pr 8.4191 7.0187 10.5127
Nd 4.1835 6.8254 6.9017
Nd 7.8547 2.3068 6.6860
Nd 3.0266 1.9851 9.9308

3
Lattice="6.7555 -0.0051 0.0000 5.6372 3.7228 0.0000 -6.1963 -1.8589 1.9460" Properties=species:S:1:pos:R:3 comment="MgAgOs | Alexandria via LeMat-Bulk | PBE-GGA | relaxed" space_group="I4mm, No. 107" delta_e_f_kj_per_mol_atoms=36 dos_at_fermi_per_ev_atom=0.996 pbc="T T T"
Ag 0.0168 0.0050 0.0000
Mg 4.0550 1.2165 0.0000
Os 8.3209 2.4962 0.0000